Entry 1:
The following is a DFT calculation (GGA-PBEsol) of a relaxed structure of LiHgAu2.

Output
* V: 17.1 Å³ per atom
* formation energy from the elements: -0.248 eV per atom
* space group: C2/m (12)

Cell: 3.024 4.821 5.033 Å, 101.97 107.48 90.00°
Fractional positions:
Au: 0.241 0.239 0.481
Au: 0.759 0.761 0.519
Li: 0.500 0.000 0.000
Hg: 0.000 0.500 0.000

---

Entry 2:
The following is a DFT calculation (GGA-PBEsol) of a relaxed structure of NaCd2Ni2.

Output
* V: 17.5 Å³ per atom
* formation energy from the elements: 0.237 eV per atom
* space group: I4/mmm (139)

Cell: 3.636 3.636 7.117 Å, 104.80 104.80 90.00°
Fractional positions:
Ni: 0.250 0.750 0.500
Ni: 0.750 0.250 0.500
Na: 0.000 0.000 0.000
Cd: 0.388 0.388 0.776
Cd: 0.612 0.612 0.224

---

Entry 3:
The following is a DFT calculation (GGA-PBEsol) of a relaxed structure of Cd2P.

Output
* V: 21.3 Å³ per atom
* excess energy over the best structure of this formula in the dataset: 0 meV per atom
* formation energy from the elements: 0.174 eV per atom
* space group: P4/mmm (123)

Cell: 3.697 4.159 4.159 Å, 90.00 90.00 90.00°
Fractional positions:
Cd: 0.500 0.000 0.500
Cd: 0.500 0.500 0.000
P: 0.000 0.000 0.000

---

Entry 4:
The following is a DFT calculation (GGA-PBEsol) of a relaxed structure of CdIn2Ir.

Output
* V: 21.2 Å³ per atom
* formation energy from the elements: -0.053 eV per atom
* space group: Imm2 (44)

Cell: 2.927 4.506 6.959 Å, 108.89 102.14 90.00°
Fractional positions:
In: 0.006 0.506 0.012
In: 0.812 0.812 0.623
Ir: 0.496 0.996 0.991
Cd: 0.187 0.187 0.373